No. 1
A relaxed RhBr3 crystal. Source: the Alexandria database, functional PBE.

```
RhBr3
1.0
5.130 0.000 0.000
0.000 12.989 0.000
0.000 0.000 3.669
Rh Br
2 6
direct
0.000 0.000 0.000
0.500 0.500 0.000
0.000 0.131 0.500
0.000 0.500 0.000
0.000 0.869 0.500
0.500 0.000 0.000
0.500 0.369 0.500
0.500 0.631 0.500
```

Computed properties:
- size of the total moment (μB/f.u.) = 0.0
- calculated density (g cm⁻³) = 4.654
- DFT total energy (eV per atom) = -3.35
- symmetry = Cmmm
- Fermi-level density of states (states/eV per atom) = 1.1110

***

No. 2
A relaxed MgAsW crystal. Source: the Alexandria database, functional PBE.

```
MgAsW
1.0
3.147 0.000 0.000
-1.574 2.726 0.000
0.000 0.000 6.372
Mg As W
1 1 1
direct
0.000 0.000 0.000
0.333 0.667 0.635
0.667 0.333 0.360
```

Computed properties:
- size of the total moment (μB/f.u.) = 0.0
- energy above the most stable polymorph in this dataset (eV per formula unit) = 0.343
- calculated density (g cm⁻³) = 8.599
- DFT total energy (eV per atom) = -6.21
- energy relative to the elements (kJ/mol of formula units) = 53
- symmetry = P3m1
- Fermi-level density of states (states/eV per atom) = 0.7984

***

No. 3
A relaxed TbPuZnFe crystal. Source: the Alexandria database, functional PBE.

```
TbPuZnFe
1.0
6.943 0.000 0.000
0.000 6.943 0.000
0.000 0.000 6.943
Tb Pu Zn Fe
4 4 4 4
direct
0.000 0.000 0.000
0.000 0.500 0.500
0.500 0.000 0.500
0.500 0.500 0.000
0.000 0.000 0.500
0.000 0.500 0.000
0.500 0.000 0.000
0.500 0.500 0.500
0.250 0.250 0.750
0.250 0.750 0.250
0.750 0.250 0.250
0.750 0.750 0.750
0.250 0.250 0.250
0.250 0.750 0.750
0.750 0.250 0.750
0.750 0.750 0.250
```

Computed properties:
- size of the total moment (μB/f.u.) = 3.8
- calculated density (g cm⁻³) = 10.405
- DFT total energy (eV per atom) = -7.15
- energy relative to the elements (kJ/mol of formula units) = 10
- symmetry = F-43m
- Fermi-level density of states (states/eV per atom) = 2.2948

***

No. 4
A relaxed Ce2HPbO crystal. Source: the Alexandria database, functional PBE.

```
Ce2HPbO
1.0
3.940 0.000 0.000
0.000 3.940 0.000
0.000 0.000 13.288
Ce H Pb O
4 2 2 2
direct
0.000 0.000 0.154
0.000 0.000 0.846
0.500 0.500 0.346
0.500 0.500 0.654
0.000 0.500 0.750
0.500 0.000 0.250
0.000 0.000 0.500
0.500 0.500 0.000
0.000 0.500 0.250
0.500 0.000 0.750
```

Computed properties:
- size of the total moment (μB/f.u.) = 1.5
- calculated density (g cm⁻³) = 8.122
- DFT total energy (eV per atom) = -6.26
- symmetry = I-4m2
- Fermi-level density of states (states/eV per atom) = 2.4089

***

No. 5
A relaxed YZr2Hg crystal. Source: the Alexandria database, functional PBE.

```
YZr2Hg
1.0
6.162 0.000 0.000
0.000 10.962 0.000
-1.474 0.000 2.872
Y Zr Hg
2 4 2
direct
0.000 0.000 0.000
0.500 0.500 0.000
0.250 0.250 0.500
0.250 0.750 0.500
0.750 0.250 0.500
0.750 0.750 0.500
0.000 0.500 0.000
0.500 0.000 0.000
```

Computed properties:
- size of the total moment (μB/f.u.) = 0.0
- calculated density (g cm⁻³) = 8.080
- DFT total energy (eV per atom) = -5.93
- energy relative to the elements (kJ/mol of formula units) = 13
- symmetry = C2/m
- Fermi-level density of states (states/eV per atom) = 1.5734

***

No. 6
A relaxed LiLaRe crystal. Source: the Alexandria database, functional PBE.

```
LiLaRe
1.0
2.827 0.000 0.000
0.000 4.428 0.000
0.000 0.000 9.539
Li La Re
2 2 2
direct
0.000 0.000 0.000
0.500 0.500 0.500
0.000 0.000 0.696
0.500 0.500 0.196
0.000 0.000 0.377
0.500 0.500 0.877
```

Computed properties:
- size of the total moment (μB/f.u.) = 0.0
- energy above the most stable polymorph in this dataset (eV per formula unit) = 0.053
- calculated density (g cm⁻³) = 9.236
- DFT total energy (eV per atom) = -5.89
- energy relative to the elements (kJ/mol of formula units) = 157
- symmetry = Imm2
- Fermi-level density of states (states/eV per atom) = 0.8879

***

No. 7
A relaxed NaCd2Hg4Pb crystal. Source: the Alexandria database, functional PBE.

```
NaCd2Hg4Pb
1.0
0.000 4.406 6.017
4.383 0.000 6.017
4.383 4.406 0.000
Na Cd Hg Pb
1 2 4 1
direct
0.000 0.000 0.000
0.250 0.250 0.250
0.500 0.500 0.500
0.007 0.007 0.493
0.254 0.254 0.746
0.493 0.493 0.007
0.746 0.746 0.254
0.750 0.750 0.750
```

Computed properties:
- size of the total moment (μB/f.u.) = 0.0
- calculated density (g cm⁻³) = 8.984
- DFT total energy (eV per atom) = -0.99
- energy relative to the elements (kJ/mol of formula units) = 12
- symmetry = F222
- Fermi-level density of states (states/eV per atom) = 0.5968

***

No. 8
A relaxed Zn12Ag7Hg crystal. Source: the Alexandria database, functional PBE.

```
Zn12Ag7Hg
1.0
-4.786 4.786 4.786
4.786 -4.786 4.786
4.786 4.786 -4.786
Zn Ag Hg
12 7 1
direct
0.123 0.269 0.854
0.146 0.415 0.269
0.146 0.877 0.731
0.269 0.146 0.415
0.269 0.854 0.123
0.415 0.269 0.146
0.585 0.731 0.854
0.731 0.146 0.877
0.731 0.854 0.585
0.854 0.123 0.269
0.854 0.585 0.731
0.877 0.731 0.146
0.000 0.000 0.500
0.000 0.500 0.000
0.000 0.500 0.500
0.500 0.000 0.000
0.500 0.000 0.500
0.500 0.500 0.000
0.500 0.500 0.500
0.000 0.000 0.000
```

Computed properties:
- size of the total moment (μB/f.u.) = 0.0
- calculated density (g cm⁻³) = 6.590
- DFT total energy (eV per atom) = -1.48
- energy relative to the elements (kJ/mol of formula units) = 582
- symmetry = Im-3
- Fermi-level density of states (states/eV per atom) = 0.3789